Version 1
The following is a DFT calculation (GGA+U) of Nb2FeO6 after structural relaxation.

Summary:
Total magnetization = 4.00 μB/f.u.

a = 5.3460 Å, b = 5.3460 Å, c = 6.8066 Å
α = 112.83°, β = 112.83°, γ = 41.78°
Fractional coordinates of all 9 atoms:
1 Nb 0.1841 0.1841 0.1473
2 Nb 0.8159 0.8159 0.8527
3 Fe 0.0000 0.0000 0.5000
4 O 0.0183 0.0183 0.2114
5 O 0.3048 0.3048 0.9337
6 O 0.3472 0.3472 0.4029
7 O 0.6528 0.6528 0.5971
8 O 0.6952 0.6952 0.0663
9 O 0.9817 0.9817 0.7886

---

Version 2
The following is a DFT calculation (GGA+U) of Nb2FeO6 after structural relaxation.

Summary:
Total magnetization = 4.00 μB/f.u.

a = 7.1650 Å, b = 7.1650 Å, c = 5.4390 Å
α = 100.77°, β = 100.77°, γ = 83.61°
Fractional coordinates of all 18 atoms:
1 Nb 0.1224 0.3421 0.1554
2 Nb 0.3421 0.1224 0.6554
3 Nb 0.6579 0.8776 0.3446
4 Nb 0.8776 0.6579 0.8446
5 Fe 0.4075 0.5925 0.7500
6 Fe 0.5925 0.4075 0.2500
7 O 0.1258 0.5383 0.8657
8 O 0.1285 0.1683 0.3858
9 O 0.1683 0.1285 0.8858
10 O 0.3112 0.4828 0.3742
11 O 0.4617 0.8742 0.6343
12 O 0.4828 0.3112 0.8742
13 O 0.5172 0.6888 0.1258
14 O 0.5383 0.1258 0.3657
15 O 0.6888 0.5172 0.6258
16 O 0.8317 0.8715 0.1142
17 O 0.8715 0.8317 0.6142
18 O 0.8742 0.4617 0.1343

---

Most stable: version 1. Least stable: version 2.

---

Version 1
The following is a DFT calculation (GGA+U) of NbFe3O after structural relaxation.

Summary:
Total magnetization = 9.48 μB/f.u.

a = 4.2100 Å, b = 4.2100 Å, c = 4.2100 Å
α = 90.00°, β = 90.00°, γ = 90.00°
Fractional coordinates of all 5 atoms:
1 Nb 0.0000 0.0000 0.0000
2 Fe 0.0000 0.5000 0.5000
3 Fe 0.5000 0.0000 0.5000
4 Fe 0.5000 0.5000 0.0000
5 O 0.5000 0.5000 0.5000

---

Version 2
The following is a DFT calculation (GGA+U) of NbFe3O after structural relaxation.

Summary:
Total magnetization = 9.90 μB/f.u.

a = 4.8804 Å, b = 4.8804 Å, c = 4.8804 Å
α = 90.00°, β = 90.00°, γ = 90.00°
Fractional coordinates of all 5 atoms:
1 Nb 0.0000 0.0000 0.0000
2 Fe 0.0000 0.0000 0.5000
3 Fe 0.0000 0.5000 0.0000
4 Fe 0.5000 0.0000 0.0000
5 O 0.5000 0.5000 0.5000

---

Most stable: version 1. Least stable: version 2.

---

Version 1
The following is a DFT calculation (GGA+U) of Nb3FeO after structural relaxation.

Summary:
Total magnetization = 3.39 μB/f.u.

a = 4.2600 Å, b = 4.2600 Å, c = 4.2600 Å
α = 90.00°, β = 90.00°, γ = 90.00°
Fractional coordinates of all 5 atoms:
1 Nb 0.0000 0.0000 0.5000
2 Nb 0.0000 0.5000 0.0000
3 Nb 0.5000 0.0000 0.0000
4 Fe 0.5000 0.5000 0.5000
5 O 0.0000 0.0000 0.0000

---

Version 2
The following is a DFT calculation (GGA+U) of Nb3FeO after structural relaxation.

Summary:
Total magnetization = 0.00 μB/f.u.

a = 4.5330 Å, b = 4.5330 Å, c = 4.5330 Å
α = 90.00°, β = 90.00°, γ = 90.00°
Fractional coordinates of all 5 atoms:
1 Nb 0.0000 0.0000 0.5000
2 Nb 0.0000 0.5000 0.0000
3 Nb 0.5000 0.0000 0.0000
4 Fe 0.0000 0.0000 0.0000
5 O 0.5000 0.5000 0.5000

---

Most stable: version 1. Least stable: version 2.

---

Version 1
The following is a DFT calculation (GGA+U) of NbFeP2O after structural relaxation.

Summary:
Total magnetization = 3.19 μB/f.u.

a = 4.6330 Å, b = 4.6330 Å, c = 3.5171 Å
α = 90.00°, β = 90.00°, γ = 90.00°
Fractional coordinates of all 5 atoms:
1 Nb 0.0000 0.0000 0.0000
2 Fe 0.5000 0.5000 0.5000
3 P 0.0000 0.5000 0.5000
4 P 0.5000 0.0000 0.5000
5 O 0.5000 0.5000 0.0000

---

Version 2
The following is a DFT calculation (GGA+U) of NbFeP2O after structural relaxation.

Summary:
Total magnetization = 3.79 μB/f.u.

a = 4.9521 Å, b = 4.9521 Å, c = 3.8633 Å
α = 90.00°, β = 90.00°, γ = 90.00°
Fractional coordinates of all 5 atoms:
1 Nb 0.0000 0.0000 0.0000
2 Fe 0.5000 0.5000 0.5000
3 P 0.0000 0.5000 0.0000
4 P 0.5000 0.0000 0.0000
5 O 0.0000 0.0000 0.5000

---

Most stable: version 2. Least stable: version 1.